(1)
The following is a DFT calculation (PBE-GGA) of a geometry-optimized PmCo2Si2 structure.

theoretical density = 6.921 g/cm³
E_form (uncorrected) = -0.782 eV per atom

a b c (Å): 10.6925 3.9217 3.9217
angles (deg): 90.00 111.43 90.00
With the nearest neighbours (Å) after each atom.
Space group C2/m (No. 12)
Symmetry-distinct sites (fractional):
Pm: 0.0000 0.0000 0.0000 x2  8 Si 3.07, 8 Co 3.16-3.17
Co: 0.2500 0.0000 0.7505 x4  4 Si 2.29
Si: 0.1318 0.5000 0.6318 x4  4 Co 2.29

---

(2)
The following is a DFT calculation (PBE-GGA) of a geometry-optimized TbErInAg structure.

theoretical density = 8.953 g/cm³
ΔE_f = -9.14 kcal/mol of atoms

a b c (Å): 7.4119 7.4119 7.4119
angles (deg): 90.00 90.00 90.00
With the nearest neighbours (Å) after each atom.
Space group F-43m (No. 216)
Symmetry-distinct sites (fractional):
Tb: 0.0000 0.0000 0.0000 x4  4 In 3.21, 4 Ag 3.21
Er: 0.0000 0.0000 0.5000 x4  4 In 3.21, 4 Ag 3.21
In: 0.2500 0.2500 0.7500 x4  4 Tb 3.21, 4 Er 3.21
Ag: 0.2500 0.2500 0.2500 x4  4 Tb 3.21, 4 Er 3.21

---

(3)
The following is a DFT calculation (PBE-GGA) of a geometry-optimized LaMgZr2H structure.

theoretical density = 5.506 g/cm³
uncorrected energy = -5.4256 eV/atom

a b c (Å): 4.6509 4.6509 4.8333
angles (deg): 90.00 90.00 90.00
With the nearest neighbours (Å) after each atom.
Space group P4/mmm (No. 123)
Symmetry-distinct sites (fractional):
La: 0.0000 0.0000 0.0000 x1  2 H 2.42
Mg: 0.5000 0.5000 0.0000 x1  4 La 3.29, 8 Zr 3.35
Zr: 0.0000 0.5000 0.5000 x2  2 H 2.33
H: 0.0000 0.0000 0.5000 x1  4 Zr 2.33, 2 La 2.42

---

(4)
The following is a DFT calculation (PBE-GGA) of a geometry-optimized BaAcHgPt structure.

theoretical density = 10.234 g/cm³
ΔE_f = -13.57 kcal/mol of atoms

a b c (Å): 7.9012 7.9012 7.9012
angles (deg): 90.00 90.00 90.00
With the nearest neighbours (Å) after each atom.
Space group F-43m (No. 216)
Symmetry-distinct sites (fractional):
Ba: 0.0000 0.0000 0.0000 x4  4 Hg 3.42, 4 Pt 3.42
Ac: 0.0000 0.0000 0.5000 x4  4 Pt 3.42, 4 Hg 3.42
Hg: 0.2500 0.2500 0.7500 x4  4 Ba 3.42, 4 Ac 3.42
Pt: 0.2500 0.2500 0.2500 x4  4 Ba 3.42, 4 Ac 3.42

---

(5)
The following is a DFT calculation (PBE-GGA) of a geometry-optimized Nd3ZnNi structure.

theoretical density = 6.954 g/cm³
ΔE_f = -3.75 kcal/mol of atoms
excess energy over the best structure of this formula in the dataset = 4.07 kJ per mole of atoms

a b c (Å): 6.6877 4.6236 8.8743
angles (deg): 90.00 104.29 90.00
With the nearest neighbours (Å) after each atom.
Space group Pm (No. 6)
Symmetry-distinct sites (fractional):
Nd: 0.0000 0.0000 0.0000 x1  1 Ni 2.82, 2 Zn 3.00
Nd: 0.0142 0.0000 0.4276 x1  2 Ni 3.14, 4 Zn 3.16, 1 Nd 3.45
Nd: 0.1575 0.5000 0.7524 x1  3 Ni 2.87-3.03
Nd: 0.4572 0.0000 0.2944 x1  3 Ni 3.10-3.12, 4 Zn 3.17-3.18, 2 Nd 3.34-3.45
Nd: 0.5679 0.0000 0.6827 x1  3 Ni 2.78-3.04
Nd: 0.6218 0.5000 0.0549 x1  2 Ni 2.83
Zn: 0.1217 0.5000 0.2184 x1  1 Ni 2.51
Zn: 0.7243 0.5000 0.4925 x1  1 Ni 2.56
Ni: 0.3409 0.5000 0.4923 x1  2 Zn 2.51-2.56
Ni: 0.3926 0.0000 0.9361 x1  7 Nd 2.78-3.10

---

(6)
The following is a DFT calculation (PBE-GGA) of a geometry-optimized K2LiP structure.

theoretical density = 1.613 g/cm³
ΔE_f = -7.38 kcal/mol of atoms

a b c (Å): 4.4941 5.7496 9.2517
angles (deg): 90.00 90.00 90.00
With the nearest neighbours (Å) after each atom.
Space group Imm2 (No. 44)
Symmetry-distinct sites (fractional):
K: 0.0000 0.0000 0.0000 x2  4 K 3.33-3.70, 4 Li 3.34-3.69, 1 P 3.59
K: 0.0000 0.5000 0.1822 x2  4 K 3.33-3.70, 1 Li 3.38, 4 P 3.45-3.53
Li: 0.0000 0.5000 0.8169 x2  2 P 2.34
P: 0.0000 0.0000 0.3877 x2  2 Li 2.34

---

(7)
The following is a DFT calculation (PBE-GGA) of a geometry-optimized ThAlGa2Cu structure.

theoretical density = 8.149 g/cm³
ΔE_f = -10.28 kcal/mol of atoms

a b c (Å): 4.1950 4.1950 10.6998
angles (deg): 90.00 90.00 90.00
With the nearest neighbours (Å) after each atom.
Space group I-4m2 (No. 119)
Symmetry-distinct sites (fractional):
Th: 0.0000 0.0000 0.0000 x2  8 Ga 3.22, 4 Cu 3.40, 4 Al 3.40
Al: 0.0000 0.5000 0.2500 x2  4 Ga 2.54
Ga: 0.0000 0.0000 0.3837 x4  1 Ga 2.49, 2 Al 2.54, 2 Cu 2.54
Cu: 0.0000 0.5000 0.7500 x2  4 Ga 2.54

---

(8)
The following is a DFT calculation (PBE-GGA) of a geometry-optimized La4Ge3Cl structure.

theoretical density = 5.651 g/cm³
E_form (uncorrected) = -1.058 eV per atom

a b c (Å): 7.5548 8.7809 7.6145
angles (deg): 90.00 109.75 90.00
With the nearest neighbours (Å) after each atom.
Space group P2/c (No. 13)
Symmetry-distinct sites (fractional):
La: 0.2428 0.1269 0.4992 x4  4 Ge 3.04-3.08, 2 Cl 3.12-3.14
La: 0.2450 0.3767 0.9989 x4  5 Ge 3.08-3.13, 1 Cl 3.14
Ge: 0.0000 0.1217 0.7500 x2  6 La 3.06-3.11
Ge: 0.0000 0.3712 0.2500 x2  6 La 3.04-3.09
Ge: 0.5000 0.3703 0.7500 x2  6 La 3.08-3.13
Cl: 0.5000 0.1232 0.2500 x2  6 La 3.12-3.14